[1]
SnSbTe2Os | GGA-PBE | optimized geometry

Unit cell a=5.4232 b=5.4232 c=4.9978 alpha=90.00 beta=90.00 gamma=90.00
Closest atoms and distances in Å follow each position.
Atoms (fractional coordinates):
1 Sb 0.0000 0.0000 0.5000  2 Os 2.50
2 Te 0.0000 0.5000 0.0000  2 Os 2.71
3 Te 0.5000 0.0000 0.0000  2 Os 2.71
4 Os 0.0000 0.0000 0.0000  2 Sb 2.50, 4 Te 2.71
5 Sn 0.5000 0.5000 0.5000  8 Te 3.69, 4 Sb 3.83

Total DFT energy (no corrections) (eV for the cell shown): -22.66
ΔE_f (raw) (eV per atom): 0.595
Magnetic moment (μB/cell): 0.000

[2]
TlFe2N | GGA-PBE | optimized geometry

Unit cell a=4.2933 b=4.2933 c=4.2933 alpha=60.00 beta=60.00 gamma=60.00
Closest atoms and distances in Å follow each position.
Atoms (fractional coordinates):
1 Tl 0.5000 0.5000 0.5000  8 Fe 2.63
2 Fe 0.2500 0.2500 0.2500  4 Tl 2.63, 4 N 2.63
3 Fe 0.7500 0.7500 0.7500  4 N 2.63, 4 Tl 2.63
4 N 0.0000 0.0000 0.0000  8 Fe 2.63

Total DFT energy (no corrections) (eV for the cell shown): -22.24
ΔE_f (raw) (eV per atom): 1.343
Magnetic moment (μB/cell): 5.938

[3]
KMnIn2Br | GGA-PBE | optimized geometry

Unit cell a=6.3861 b=5.7054 c=6.3861 alpha=90.00 beta=90.00 gamma=90.00
Closest atoms and distances in Å follow each position.
Atoms (fractional coordinates):
1 K 0.0000 0.0000 0.0000  2 Br 2.85, 4 In 3.19
2 Mn 0.5000 0.5000 0.5000  8 In 4.28, 4 Br 4.52
3 Br 0.0000 0.5000 0.0000  2 K 2.85
4 In 0.0000 0.0000 0.5000  2 K 3.19
5 In 0.5000 0.0000 0.0000  2 K 3.19

Total DFT energy (no corrections) (eV for the cell shown): -13.75
ΔE_f (raw) (eV per atom): 0.732
Magnetic moment (μB/cell): 4.470

[4]
NbCd2Sn | GGA-PBE | optimized geometry

Unit cell a=8.0235 b=8.0235 c=6.3483 alpha=50.81 beta=50.81 gamma=90.00
Closest atoms and distances in Å follow each position.
Atoms (fractional coordinates):
1 Nb 0.5000 0.5000 0.0000  2 Sn 2.85, 4 Cd 2.92
2 Nb 0.2500 0.7500 0.5000  2 Sn 2.85, 4 Cd 2.92
3 Sn 0.0000 0.0000 0.0000  2 Nb 2.85, 4 Cd 2.93
4 Sn 0.7500 0.2500 0.5000  2 Nb 2.85, 4 Cd 2.93
5 Cd 0.6236 0.1250 0.2500  2 Cd 2.85, 2 Nb 2.92, 2 Sn 2.93
6 Cd 0.1264 0.6250 0.2500  2 Cd 2.85, 2 Nb 2.92, 2 Sn 2.93
7 Cd 0.3750 0.3764 0.7500  2 Cd 2.85, 2 Nb 2.92, 2 Sn 2.93
8 Cd 0.8750 0.8736 0.7500  2 Cd 2.85, 2 Nb 2.92, 2 Sn 2.93

Total DFT energy (no corrections) (eV for the cell shown): -28.46
Formation energy (meV/atom): 418
Magnetic moment (μB/cell): 0.000

[5]
LiTcGe | GGA-PBE | optimized geometry

Unit cell a=5.0721 b=2.6921 c=14.5467 alpha=90.00 beta=108.46 gamma=90.00
Closest atoms and distances in Å follow each position.
Atoms (fractional coordinates):
1 Li 0.2935 0.0000 0.5698  2 Li 2.69, 1 Tc 2.79, 6 Ge 2.82-2.98
2 Li 0.7065 0.0000 0.4302  2 Li 2.69, 1 Tc 2.79, 6 Ge 2.82-2.98
3 Li 0.2935 0.5000 0.0698  2 Li 2.69, 1 Tc 2.79, 6 Ge 2.82-2.98
4 Li 0.7065 0.5000 0.9302  2 Li 2.69, 1 Tc 2.79, 6 Ge 2.82-2.98
5 Tc 0.7225 0.0000 0.7465  3 Ge 2.52-2.63, 4 Tc 2.66-2.69, 1 Li 2.79
6 Tc 0.2775 0.0000 0.2535  3 Ge 2.52-2.63, 4 Tc 2.66-2.69, 1 Li 2.79
7 Tc 0.7225 0.5000 0.2465  3 Ge 2.52-2.63, 4 Tc 2.66-2.69, 1 Li 2.79
8 Tc 0.2775 0.5000 0.7535  3 Ge 2.52-2.63, 4 Tc 2.66-2.69, 1 Li 2.79
9 Ge 0.8425 0.0000 0.1094  3 Tc 2.52-2.63, 2 Ge 2.69, 2 Li 2.82
10 Ge 0.1575 0.0000 0.8906  3 Tc 2.52-2.63, 2 Ge 2.69, 2 Li 2.82
11 Ge 0.8425 0.5000 0.6094  3 Tc 2.52-2.63, 2 Ge 2.69, 2 Li 2.82
12 Ge 0.1575 0.5000 0.3906  3 Tc 2.52-2.63, 2 Ge 2.69, 2 Li 2.82

Total DFT energy (no corrections) (eV for the cell shown): -69.27
Formation energy (meV/atom): -140
Magnetic moment (μB/cell): 0.000

[6]
Cd2SiCl | GGA-PBE | optimized geometry

Unit cell a=5.8249 b=3.0643 c=5.7757 alpha=60.45 beta=90.00 gamma=90.00
Closest atoms and distances in Å follow each position.
Atoms (fractional coordinates):
1 Cd 0.0000 0.7483 0.0002  6 Cd 2.88-3.06
2 Cd 0.0000 0.7517 0.4998  6 Cd 2.88-3.06
3 Cl 0.5000 0.2500 0.2500  2 Si 2.51
4 Si 0.5000 0.7500 0.7500  2 Cl 2.51

Total DFT energy (no corrections) (eV for the cell shown): -8.67
ΔE_f (raw) (eV per atom): 0.108
Magnetic moment (μB/cell): 0.000

[7]
CsRbNaAg | GGA-PBE | optimized geometry

Unit cell a=6.6040 b=6.6040 c=6.6040 alpha=60.00 beta=60.00 gamma=60.00
Closest atoms and distances in Å follow each position.
Atoms (fractional coordinates):
1 Cs 0.7500 0.7500 0.7500  4 Ag 4.04, 4 Na 4.04
2 Na 0.0000 0.0000 0.0000  4 Cs 4.04, 4 Rb 4.04
3 Rb 0.2500 0.2500 0.2500  4 Na 4.04, 4 Ag 4.04
4 Ag 0.5000 0.5000 0.5000  4 Rb 4.04, 4 Cs 4.04

Total DFT energy (no corrections) (eV for the cell shown): -5.59
Formation energy (meV/atom): 100
Magnetic moment (μB/cell): 0.000

[8]
Cd3SnBr | GGA-PBE | optimized geometry

Unit cell a=5.5973 b=5.5973 c=5.5973 alpha=90.00 beta=90.00 gamma=90.00
Closest atoms and distances in Å follow each position.
Atoms (fractional coordinates):
1 Sn 0.0000 0.0000 0.0000  6 Cd 2.80
2 Br 0.5000 0.5000 0.5000  12 Cd 3.96
3 Cd 0.0000 0.5000 0.0000  2 Sn 2.80
4 Cd 0.0000 0.0000 0.5000  2 Sn 2.80
5 Cd 0.5000 0.0000 0.0000  2 Sn 2.80

Total DFT energy (no corrections) (eV for the cell shown): -8.55
ΔE_f (raw) (eV per atom): -0.025
Magnetic moment (μB/cell): 0.000